Density functional theory data (PBE-GGA) for a relaxed Ba2SrAg6 crystal.

extended XYZ file:
```
9
Lattice="8.550 0.000 0.000 -4.275 7.405 0.000 0.000 0.000 4.167" Properties=species:S:1:pos:R:3 pbc="T T T"
Ba 0.000 4.937 0.000
Ba 4.275 2.468 0.000
Sr 0.000 0.000 0.000
Ag -1.411 2.444 2.084
Ag -2.864 4.961 2.084
Ag 2.822 0.000 2.084
Ag 1.411 2.444 2.084
Ag 5.728 0.000 2.084
Ag 2.864 4.961 2.084
```

Values from the calculation:
* energy of formation from the pure elements: -0.274 eV/atom
* D(E_F): 0.271 states/eV per atom

Density functional theory data (PBE-GGA) for a relaxed VZnFe3 crystal.

extended XYZ file:
```
5
Lattice="4.252 0.000 0.000 0.000 4.252 0.000 0.000 0.000 4.252" Properties=species:S:1:pos:R:3 pbc="T T T"
V 0.000 0.000 0.000
Zn 2.126 2.126 2.126
Fe 0.000 0.000 2.126
Fe 0.000 2.126 0.000
Fe 2.126 0.000 0.000
```

Values from the calculation:
* energy of formation from the pure elements: 1.040 eV/atom
* D(E_F): 0.792 states/eV per atom

Density functional theory data (PBE-GGA) for a relaxed SrBPdAu2 crystal.

extended XYZ file:
```
5
Lattice="5.131 0.000 0.000 0.000 5.131 0.000 0.000 0.000 5.447" Properties=species:S:1:pos:R:3 pbc="T T T"
Sr 0.000 0.000 0.000
B 2.566 2.566 0.000
Pd 0.000 0.000 2.723
Au 0.000 2.566 2.723
Au 2.566 0.000 2.723
```

Values from the calculation:
* energy of formation from the pure elements: 0.962 eV/atom
* D(E_F): 0.858 states/eV per atom

Density functional theory data (PBE-GGA) for a relaxed Ca4Np3RhN8 crystal.

extended XYZ file:
```
16
Lattice="6.048 -3.330 0.000 6.048 3.330 0.000 -3.730 0.000 5.662" Properties=species:S:1:pos:R:3 pbc="T T T"
Ca 0.000 0.000 0.000
Ca 3.024 1.665 0.000
Ca 3.024 -1.665 0.000
Ca 6.048 0.000 0.000
Np -1.865 0.000 2.831
Np 1.159 1.665 2.831
Np 1.159 -1.665 2.831
Rh 4.183 0.000 2.831
N 1.790 0.000 1.518
N 3.229 1.696 4.015
N 0.221 0.000 4.086
N 5.137 1.696 1.647
N 3.229 -1.696 4.015
N 8.145 0.000 1.576
N 5.137 -1.696 1.647
N 6.577 0.000 4.144
```

Values from the calculation:
* D(E_F): 0.893 states/eV per atom
* energy relative to the elements, uncorrected: -0.968 eV per atom

Density functional theory data (PBE-GGA) for a relaxed Sc2VPdN crystal.

extended XYZ file:
```
5
Lattice="4.490 0.000 0.000 0.000 4.490 0.000 0.000 0.000 3.836" Properties=species:S:1:pos:R:3 pbc="T T T"
Sc 0.000 2.245 0.000
Sc 2.245 0.000 0.000
V 0.000 0.000 1.918
Pd 2.245 2.245 1.918
N 0.000 0.000 0.000
```

Values from the calculation:
* D(E_F): 0.704 states/eV per atom
* energy relative to the elements, uncorrected: -0.956 eV per atom

Density functional theory data (PBE-GGA) for a relaxed LiNbTe2I crystal.

extended XYZ file:
```
5
Lattice="5.420 0.000 0.000 0.000 5.420 0.000 0.000 0.000 6.042" Properties=species:S:1:pos:R:3 pbc="T T T"
Li 0.000 0.000 0.000
Nb 2.710 2.710 3.021
Te 0.000 2.710 3.021
Te 2.710 0.000 3.021
I 2.710 2.710 0.000
```

Values from the calculation:
* D(E_F): 0.780 states/eV per atom
* energy relative to the elements, uncorrected: -0.133 eV per atom